1.
DFT (GGA+U) results for an optimized crystal structure of CoAs3F.

Cell: 4.431 4.431 4.431 Å, 90.00 90.00 90.00°
Positions (direct):
Co (0.500, 0.500, 0.500)
As (0.000, 0.500, 0.000)
As (0.000, 0.000, 0.500)
As (0.500, 0.000, 0.000)
F (0.000, 0.000, 0.000)

## Properties
* ΔE to the lowest computed polymorph: 530 meV per atom

=====

2.
DFT (GGA+U) results for an optimized crystal structure of CoAs3F.

Cell: 4.549 4.549 4.549 Å, 90.00 90.00 90.00°
Each line ends with the local moment (μB).
Positions (direct):
As (0.000, 0.000, 0.500)  0.20
As (0.000, 0.500, 0.000)  0.09
As (0.500, 0.000, 0.000)  0.04
F (0.500, 0.500, 0.500)  0.17
Co (0.000, 0.000, 0.000)  1.10

## Properties
* ΔE to the lowest computed polymorph: 0 meV per atom

=====

3.
DFT (GGA+U) results for an optimized crystal structure of CoAsF2.

Cell: 5.975 5.975 5.880 Å, 59.47 59.47 90.00°
Each line ends with the local moment (μB).
Positions (direct):
F (0.375, 0.521, 0.750)  0.07
F (0.271, 0.625, 0.250)  0.07
F (0.479, 0.125, 0.250)  0.07
F (0.875, 0.729, 0.750)  0.07
Co (0.250, 0.750, 0.500)  2.76
Co (0.500, 0.500, 0.000)  2.76
As (0.750, 0.250, 0.500)  0.00
As (0.000, 0.000, 0.000)  0.00

## Properties
* ΔE to the lowest computed polymorph: 120 meV per atom

=====

4.
DFT (GGA+U) results for an optimized crystal structure of CoAs2F.

Cell: 5.138 5.138 6.769 Å, 67.70 67.70 90.00°
Positions (direct):
As (0.067, 0.625, 0.250)
As (0.875, 0.933, 0.750)
As (0.683, 0.125, 0.250)
As (0.375, 0.317, 0.750)
F (0.250, 0.750, 0.500)
F (0.500, 0.500, 0.000)
Co (0.750, 0.250, 0.500)
Co (0.000, 0.000, 0.000)

## Properties
* ΔE to the lowest computed polymorph: 41 meV per atom

=====

5.
DFT (GGA+U) results for an optimized crystal structure of CoAs2F.

Cell: 4.182 4.182 4.182 Å, 60.00 60.00 60.00°
Each line ends with the local moment (μB).
Positions (direct):
As (0.750, 0.750, 0.750)  -0.06
As (0.250, 0.250, 0.250)  -0.06
F (0.000, 0.000, 0.000)  -0.03
Co (0.500, 0.500, 0.500)  0.59

## Properties
* ΔE to the lowest computed polymorph: 0 meV per atom

=====

6.
DFT (GGA+U) results for an optimized crystal structure of CoAsF3.

Cell: 4.335 4.335 4.335 Å, 90.00 90.00 90.00°
Each line ends with the local moment (μB).
Positions (direct):
F (0.000, 0.000, 0.500)  0.02
F (0.500, 0.000, 0.000)  0.02
F (0.000, 0.500, 0.000)  0.04
Co (0.500, 0.500, 0.500)  2.91
As (0.000, 0.000, 0.000)  -0.17

## Properties
* ΔE to the lowest computed polymorph: 214 meV per atom

=====

7.
DFT (GGA+U) results for an optimized crystal structure of Co2AsF.

Cell: 6.038 6.038 5.370 Å, 55.79 55.79 90.00°
Each line ends with the local moment (μB).
Positions (direct):
F (0.250, 0.750, 0.500)  0.04
F (0.500, 0.500, 0.000)  0.04
Co (0.582, 0.125, 0.250)  2.06
Co (0.168, 0.625, 0.250)  2.06
Co (0.375, 0.418, 0.750)  2.10
Co (0.875, 0.832, 0.750)  2.05
As (0.000, 0.000, 0.000)  -0.10
As (0.750, 0.250, 0.500)  -0.10

## Properties
* ΔE to the lowest computed polymorph: 0 meV per atom

=====

8.
DFT (GGA+U) results for an optimized crystal structure of CoAsF3.

Cell: 4.081 4.081 4.081 Å, 90.00 90.00 90.00°
Each line ends with the local moment (μB).
Positions (direct):
Co (0.000, 0.000, 0.000)  2.72
F (0.500, 0.000, 0.000)  0.08
F (0.000, 0.000, 0.500)  0.12
F (0.000, 0.500, 0.000)  0.08
As (0.500, 0.500, 0.500)  0.45

## Properties
* ΔE to the lowest computed polymorph: 0 meV per atom

=====

Number 1: mass density 5.8 g cm⁻³, DOS(E_F) 1.96 states/eV per cell, size of the total moment 0.000 μB/atom. Number 2: mass density 5.3 g cm⁻³, DOS(E_F) 4.71 states/eV per cell, size of the total moment 0.391 μB/atom. Number 3: mass density 3.9 g cm⁻³, DOS(E_F) 0.90 states/eV per cell, size of the total moment 0.748 μB/atom. Number 4: mass density 5.0 g cm⁻³, DOS(E_F) 1.20 states/eV per cell, size of the total moment 0.000 μB/atom. Number 5: mass density 7.3 g cm⁻³, DOS(E_F) 1.52 states/eV per cell, size of the total moment 0.087 μB/atom. Number 6: mass density 3.9 g cm⁻³, DOS(E_F) 4.66 states/eV per cell, size of the total moment 0.608 μB/atom. Number 7: mass density 5.9 g cm⁻³, DOS(E_F) 1.94 states/eV per cell, size of the total moment 1.015 μB/atom. Number 8: mass density 4.7 g cm⁻³, DOS(E_F) 8.46 states/eV per cell, size of the total moment 0.775 μB/atom.